No. 1
U2FeCo3Si4 after structural relaxation. Source: Alexandria, functional GGA-PBE.

crystal system = tetragonal

Unit cell a=3.898 b=3.898 c=9.351 alpha=90.00 beta=90.00 gamma=90.00
Each line ends with the local moment (μB).
Fractional coordinates of all 10 atoms:
Si (0.500, 0.500, 0.000)  0.00
Fe (0.500, 0.500, 0.500)  0.05
U (0.000, 0.500, 0.747)  -0.11
Si (0.500, 0.000, 0.629)  0.00
Co (0.500, 0.000, 0.869)  0.02
Co (0.000, 0.500, 0.131)  0.02
Si (0.000, 0.500, 0.371)  0.00
U (0.500, 0.000, 0.253)  -0.11
Si (0.000, 0.000, 0.000)  0.00
Co (0.000, 0.000, 0.500)  0.01

***

No. 2
UFe2CoSi2 after structural relaxation. Source: Alexandria, functional GGA-PBE.

crystal system = tetragonal

Unit cell a=4.328 b=4.328 c=4.889 alpha=90.00 beta=90.00 gamma=90.00
Each line ends with the local moment (μB).
Fractional coordinates of all 6 atoms:
Si (0.500, 0.000, 0.000)  -0.05
U (0.000, 0.000, 0.500)  -1.96
Fe (0.500, 0.500, 0.737)  1.80
Co (0.000, 0.000, 0.000)  -0.09
Fe (0.500, 0.500, 0.263)  1.80
Si (0.000, 0.500, 0.000)  -0.05

***

No. 3
UFeCoSi2 after structural relaxation. Source: Alexandria, functional GGA-PBE.

crystal system = tetragonal

Unit cell a=3.905 b=3.905 c=5.491 alpha=110.83 beta=110.83 gamma=90.00
Each line ends with the local moment (μB).
Fractional coordinates of all 5 atoms:
U (0.000, 0.000, 0.000)  1.47
Si (0.374, 0.374, 0.747)  -0.01
Fe (0.750, 0.250, 0.500)  -0.26
Si (0.626, 0.626, 0.253)  -0.01
Co (0.250, 0.750, 0.500)  -0.05

***

no.,total moment (μB per cell),E (eV per atom)
1,0.13,-8.00
2,1.06,-7.61
3,1.28,-8.09